Material: Ag3RuBr2F6
Method: DFT, PBE
State: relaxed

M_tot   3.0 μB/cell
SG   No. 12
ΔE_f (raw)   -1.20 eV per atom
Crystal system   monoclinic
Fermi-level density of states   1.1 states/eV/f.u.

Cell lengths 7.688, 7.688, 4.990 Å; angles 93.29, 93.29, 54.21 degrees
Sites, in units of the cell vectors:
Ag: 0.000 0.000 0.000
Ag: 0.000 0.500 0.500
Ag: 0.500 0.000 0.500
Ru: 0.500 0.500 0.500
Br: 0.187 0.187 0.149
Br: 0.813 0.813 0.851
F: 0.242 0.634 0.282
F: 0.366 0.758 0.718
F: 0.387 0.387 0.708
F: 0.613 0.613 0.292
F: 0.634 0.242 0.282
F: 0.758 0.366 0.718